1.
# Ca3BeTe PBE-GGA relaxed
# Total magnetic moment (μB/cell): 0.0
# Raw total energy (eV/atom): -2.773
# Density of states at the Fermi level (states/eV per cell): 5.0
# Calculated density (g cm⁻³): 2.7
data_Ca3BeTe
_chemical_formula_sum 'Ca3 Be1 Te1'
_cell_length_a 5.425
_cell_length_b 5.425
_cell_length_c 5.425
_cell_angle_alpha 90.00
_cell_angle_beta 90.00
_cell_angle_gamma 90.00
_symmetry_space_group_name_H-M 'P m -3 m'
_symmetry_Int_Tables_number 221
_symmetry_space_group_name_Hall '-P 4 2 3'
loop_
_atom_site_label
_atom_site_fract_x
_atom_site_fract_y
_atom_site_fract_z
Ca1 0.000 0.000 0.500
Be1 0.000 0.000 0.000
Te1 0.500 0.500 0.500

***

2.
# HoTm2Sc6 PBE-GGA relaxed
# Total magnetic moment (μB/cell): 0.0
# Raw total energy (eV/atom): -5.661
# Density of states at the Fermi level (states/eV per cell): 19.1
# Formation enthalpy at 0 K (eV/f.u.): 0.6
# Calculated density (g cm⁻³): 5.4
data_HoTm2Sc6
_chemical_formula_sum 'Ho1 Tm2 Sc6'
_cell_length_a 9.1276
_cell_length_b 9.1276
_cell_length_c 3.2848
_cell_angle_alpha 90.00
_cell_angle_beta 90.00
_cell_angle_gamma 120.00
_symmetry_space_group_name_H-M 'P 6/m m m'
_symmetry_Int_Tables_number 191
_symmetry_space_group_name_Hall '-P 6 2'
loop_
_atom_site_label
_atom_site_fract_x
_atom_site_fract_y
_atom_site_fract_z
Ho1 0.0000 0.0000 0.0000
Tm1 0.3333 0.6667 0.0000
Sc1 0.0000 0.3341 0.5000

***

3.
# Pr2Ga6Ni PBE-GGA relaxed
# Total magnetic moment (μB/cell): 0.0
# Raw total energy (eV/atom): -4.263
# Density of states at the Fermi level (states/eV per cell): 5.0
# Formation enthalpy at 0 K (eV/f.u.): -4.9
# Calculated density (g cm⁻³): 7.1
data_Pr2Ga6Ni
_chemical_formula_sum 'Pr2 Ga6 Ni1'
_cell_length_a 6.0965
_cell_length_b 6.0965
_cell_length_c 5.4769
_cell_angle_alpha 90.00
_cell_angle_beta 90.00
_cell_angle_gamma 120.00
_symmetry_space_group_name_H-M 'P -3 m 1'
_symmetry_Int_Tables_number 164
_symmetry_space_group_name_Hall '-P 3 2"'
loop_
_atom_site_label
_atom_site_fract_x
_atom_site_fract_y
_atom_site_fract_z
Pr1 0.3333 0.6667 0.1874
Ga1 0.1689 0.3379 0.6915
Ni1 0.0000 0.0000 0.0000

***

4.
# Ce4SnPb3 PBE-GGA relaxed
# Total magnetic moment (μB/cell): 9.0
# Raw total energy (eV/atom): -5.084
# Density of states at the Fermi level (states/eV per cell): 39.6
# Formation enthalpy at 0 K (eV/f.u.): -1.8
# Calculated density (g cm⁻³): 9.4
data_Ce4SnPb3
_chemical_formula_sum 'Ce8 Sn2 Pb6'
_cell_length_a 14.903
_cell_length_b 5.790
_cell_length_c 5.634
_cell_angle_alpha 90.00
_cell_angle_beta 108.68
_cell_angle_gamma 90.00
_symmetry_space_group_name_H-M 'C 1 2/m 1'
_symmetry_Int_Tables_number 12
_symmetry_space_group_name_Hall '-C 2y'
loop_
_atom_site_label
_atom_site_fract_x
_atom_site_fract_y
_atom_site_fract_z
Ce1 0.121 0.000 0.099
Ce2 0.241 0.000 0.789
Sn1 0.000 0.000 0.500
Pb1 0.000 0.500 0.000
Pb2 0.135 0.500 0.610